# GGA-PBE Sn2Te3, optimized geometry
data_Sn2Te3
_cell_length_a 7.6892
_cell_length_b 7.6892
_cell_length_c 20.8095
_cell_angle_alpha 90.00
_cell_angle_beta 90.00
_cell_angle_gamma 120.00
_symmetry_space_group_name_H-M 'R -3 c'
_symmetry_Int_Tables_number 167
_symmetry_space_group_name_Hall '-R 3 2"c'
loop_
_atom_site_label
_atom_site_type_symbol
_atom_site_fract_x
_atom_site_fract_y
_atom_site_fract_z
_atom_site_occupancy
Sn1 Sn 0.0000 0.0000 0.1562 1
Te1 Te 0.0000 0.3113 0.2500 1
# Uncorrected formation energy (kJ/mol of formula units): -51
# Volume (Å³ per cell): 1065.5


# GGA-PBE Sn3Te, optimized geometry
data_Sn3Te
_cell_length_a 3.924
_cell_length_b 11.051
_cell_length_c 5.244
_cell_angle_alpha 90.00
_cell_angle_beta 90.00
_cell_angle_gamma 90.00
_symmetry_space_group_name_H-M 'I m m 2'
_symmetry_Int_Tables_number 44
_symmetry_space_group_name_Hall 'I 2 -2'
loop_
_atom_site_label
_atom_site_type_symbol
_atom_site_fract_x
_atom_site_fract_y
_atom_site_fract_z
_atom_site_occupancy
Sn1 Sn 0.000 0.000 0.000 1
Sn2 Sn 0.000 0.244 0.509 1
Te1 Te 0.000 0.500 0.000 1
# Uncorrected formation energy (kJ/mol of formula units): 5
# Volume (Å³ per cell): 227.4